Below is an optimized crystal structure of In5Fe, with properties calculated at the PBE level.

Results
- formation enthalpy at 0 K (meV/atom) = 275.2
- magnetization (μB/cell) = 2.8

POSCAR file:
```
In5Fe
1.0
2.167 -7.017 0.000
2.167 7.017 0.000
0.000 0.000 4.665
In Fe
5 1
direct
0.000 0.000 0.000 In
0.148 0.852 0.500 In
0.337 0.663 0.000 In
0.663 0.337 0.000 In
0.852 0.148 0.500 In
0.500 0.500 0.500 Fe
```

---

Below is an optimized crystal structure of Ho5CoAg, with properties calculated at the PBE level.

Results
- formation enthalpy at 0 K (meV/atom) = -35.7
- magnetization (μB/cell) = 0.0

POSCAR file:
```
Ho5CoAg
1.0
5.688 -3.369 0.000
5.688 3.369 0.000
-4.334 0.000 9.930
Ho Co Ag
10 2 2
direct
0.033 0.967 0.750 Ho
0.044 0.388 0.636 Ho
0.213 0.554 0.976 Ho
0.388 0.044 0.136 Ho
0.446 0.787 0.524 Ho
0.554 0.213 0.476 Ho
0.612 0.956 0.864 Ho
0.787 0.446 0.024 Ho
0.956 0.612 0.364 Ho
0.967 0.033 0.250 Ho
0.000 0.000 0.000 Co
0.000 0.000 0.500 Co
0.497 0.503 0.750 Ag
0.503 0.497 0.250 Ag
```

---

Below is an optimized crystal structure of Tb3Sm2In7, with properties calculated at the PBE level.

Results
- formation enthalpy at 0 K (meV/atom) = -216.7
- magnetization (μB/cell) = 0.0

POSCAR file:
```
Tb3Sm2In7
1.0
2.590 -12.768 0.000
2.590 12.768 0.000
0.000 0.000 5.356
Tb Sm In
3 2 7
direct
0.000 0.000 0.000 Tb
0.151 0.849 0.000 Tb
0.849 0.151 0.000 Tb
0.353 0.647 0.500 Sm
0.647 0.353 0.500 Sm
0.072 0.928 0.500 In
0.223 0.777 0.500 In
0.424 0.576 0.000 In
0.500 0.500 0.500 In
0.576 0.424 0.000 In
0.777 0.223 0.500 In
0.928 0.072 0.500 In
```

---

Below is an optimized crystal structure of BaTlRh2, with properties calculated at the PBE level.

Results
- formation enthalpy at 0 K (meV/atom) = 8.3
- magnetization (μB/cell) = 0.0

POSCAR file:
```
BaTlRh2
1.0
4.307 0.000 0.000
0.000 2.135 5.376
0.000 -2.135 5.376
Ba Tl Rh
1 1 2
direct
0.000 0.000 0.000 Ba
0.500 0.290 0.290 Tl
0.000 0.721 0.721 Rh
0.500 0.601 0.601 Rh
```